1.
This record from Alexandria describes a PBEsol-optimized structure of Mg14CoNiO16. The functional is SCAN.

Calculated values
SG: Pmmm
M_tot in μB/atom: 0.031

a b c (Å): 4.2000 8.3693 8.4192
angles (deg): 90.00 90.00 90.00
Closest atoms and distances in Å follow each position.
Fractional positions:
1 Mg 0.0000 0.0000 0.0000  6 O 2.09-2.12
2 Mg 0.0000 0.0000 0.5000  6 O 2.09-2.15
3 Mg 0.0000 0.2536 0.2495  6 O 2.06-2.12
4 Mg 0.0000 0.2536 0.7505  6 O 2.06-2.12
5 Mg 0.0000 0.7464 0.2495  6 O 2.06-2.12
6 Mg 0.0000 0.7464 0.7505  6 O 2.06-2.12
7 Mg 0.5000 0.0000 0.2497  6 O 2.10-2.11
8 Mg 0.5000 0.0000 0.7503  6 O 2.10-2.11
9 Mg 0.5000 0.2531 0.0000  6 O 2.07-2.12
10 Mg 0.5000 0.2539 0.5000  6 O 2.06-2.13
11 Mg 0.5000 0.5000 0.2500  6 O 2.09-2.10
12 Mg 0.5000 0.5000 0.7500  6 O 2.09-2.10
13 Mg 0.5000 0.7461 0.5000  6 O 2.06-2.13
14 Mg 0.5000 0.7469 0.0000  6 O 2.07-2.12
15 Co 0.0000 0.5000 0.5000  6 O 2.02-2.10
16 Ni 0.0000 0.5000 0.0000  6 O 2.09-2.19
17 O 0.0000 0.0000 0.2518  6 Mg 2.09-2.12
18 O 0.0000 0.0000 0.7482  6 Mg 2.09-2.12
19 O 0.0000 0.2498 0.0000  5 Mg 2.09-2.10, 1 Ni 2.09
20 O 0.0000 0.2575 0.5000  1 Co 2.03, 5 Mg 2.10-2.15
21 O 0.0000 0.5000 0.2597  1 Co 2.02, 4 Mg 2.06-2.10, 1 Ni 2.19
22 O 0.0000 0.5000 0.7403  1 Co 2.02, 4 Mg 2.06-2.10, 1 Ni 2.19
23 O 0.0000 0.7425 0.5000  1 Co 2.03, 5 Mg 2.10-2.15
24 O 0.0000 0.7502 0.0000  5 Mg 2.09-2.10, 1 Ni 2.09
25 O 0.5000 0.0000 0.0000  6 Mg 2.10-2.12
26 O 0.5000 0.0000 0.5000  6 Mg 2.10-2.13
27 O 0.5000 0.2507 0.2503  6 Mg 2.09-2.11
28 O 0.5000 0.2507 0.7497  6 Mg 2.09-2.11
29 O 0.5000 0.5000 0.0000  4 Mg 2.07-2.10, 2 Ni 2.10
30 O 0.5000 0.5000 0.5000  4 Mg 2.06-2.10, 2 Co 2.10
31 O 0.5000 0.7493 0.2503  6 Mg 2.09-2.11
32 O 0.5000 0.7493 0.7497  6 Mg 2.09-2.11

2.
This record from Alexandria describes a PBEsol-optimized structure of Mg2Co3O8. The functional is SCAN.

Calculated values
Distance to the lowest polymorph of the same formula in meV per atom: 0.0
SG: P6_3mc
M_tot in μB/atom: 0.232

a b c (Å): 5.6594 5.6594 9.1742
angles (deg): 90.00 90.00 120.00
Closest atoms and distances in Å follow each position.
Fractional positions:
1 Mg 0.3333 0.6667 0.0000  4 O 1.91-1.98
2 Mg 0.3333 0.6667 0.4012  6 O 2.07
3 Mg 0.6667 0.3333 0.5000  4 O 1.91-1.98
4 Mg 0.6667 0.3333 0.9012  6 O 2.07
5 Co 0.1643 0.3286 0.6780  6 O 1.82-1.92
6 Co 0.1643 0.8357 0.6780  6 O 1.82-1.92
7 Co 0.3286 0.1643 0.1780  6 O 1.82-1.92
8 Co 0.6714 0.8357 0.6780  6 O 1.82-1.92
9 Co 0.8357 0.1643 0.1780  6 O 1.82-1.92
10 Co 0.8357 0.6714 0.1780  6 O 1.82-1.92
11 O 0.0000 0.0000 0.0737  3 Co 1.87
12 O 0.0000 0.0000 0.5737  3 Co 1.87
13 O 0.0389 0.5194 0.5633  2 Co 1.88, 2 Mg 1.91-2.07
14 O 0.1587 0.3174 0.2749  2 Co 1.82
15 O 0.1587 0.8413 0.2749  2 Co 1.82
16 O 0.3174 0.1587 0.7749  2 Co 1.82
17 O 0.3333 0.6667 0.7840  3 Co 1.92, 1 Mg 1.98
18 O 0.4806 0.5194 0.5633  2 Co 1.88, 2 Mg 1.91-2.07
19 O 0.4806 0.9611 0.5633  2 Co 1.88, 2 Mg 1.91-2.07
20 O 0.5194 0.0389 0.0633  2 Co 1.88, 2 Mg 1.91-2.07
21 O 0.5194 0.4806 0.0633  2 Co 1.88, 2 Mg 1.91-2.07
22 O 0.6667 0.3333 0.2840  3 Co 1.92, 1 Mg 1.98
23 O 0.6826 0.8413 0.2749  2 Co 1.82
24 O 0.8413 0.1587 0.7749  2 Co 1.82
25 O 0.8413 0.6826 0.7749  2 Co 1.82
26 O 0.9611 0.4806 0.0633  2 Co 1.88, 2 Mg 1.91-2.07

3.
This record from Alexandria describes a PBEsol-optimized structure of Mg2CoO4. The functional is SCAN.

Calculated values
SG: Fd-3m
M_tot in μB/atom: 0.714

a b c (Å): 5.8913 5.8913 5.8913
angles (deg): 60.00 60.00 60.00
Closest atoms and distances in Å follow each position.
Fractional positions:
1 Mg 0.0000 0.0000 0.0000  6 O 2.07
2 Mg 0.0000 0.0000 0.5000  6 O 2.07
3 Mg 0.0000 0.5000 0.0000  6 O 2.07
4 Mg 0.5000 0.0000 0.0000  6 O 2.07
5 Co 0.3750 0.3750 0.3750  4 O 1.82
6 Co 0.6250 0.6250 0.6250  4 O 1.82
7 O 0.2466 0.7511 0.7511  1 Co 1.82
8 O 0.2489 0.2489 0.2489  1 Co 1.82
9 O 0.2489 0.2489 0.7534  1 Co 1.82
10 O 0.2489 0.7534 0.2489  1 Co 1.82
11 O 0.7511 0.2466 0.7511  1 Co 1.82
12 O 0.7511 0.7511 0.2466  1 Co 1.82
13 O 0.7511 0.7511 0.7511  1 Co 1.82
14 O 0.7534 0.2489 0.2489  1 Co 1.82

4.
This record from Alexandria describes a PBEsol-optimized structure of MgCo2O. The functional is SCAN.

Calculated values
SG: I4_1/amd
M_tot in μB/atom: 0.381

a b c (Å): 6.4840 6.4840 6.4840
angles (deg): 139.57 139.57 58.51
Closest atoms and distances in Å follow each position.
Fractional positions:
1 Mg 0.3750 0.6250 0.7500  8 Co 2.88, 4 O 3.17
2 Mg 0.6250 0.3750 0.2500  8 Co 2.88, 4 O 3.17
3 Co 0.0000 0.0000 0.0000  2 O 1.80
4 Co 0.0000 0.0000 0.5000  2 O 1.80
5 Co 0.0000 0.5000 0.0000  2 O 1.80
6 Co 0.5000 0.0000 0.5000  2 O 1.80
7 O 0.1250 0.8750 0.2500  4 Co 1.80
8 O 0.8750 0.1250 0.7500  4 Co 1.80

5.
This record from Alexandria describes a PBEsol-optimized structure of Mg2Co3O8. The functional is SCAN.

Calculated values
Distance to the lowest polymorph of the same formula in meV per atom: 13.0
SG: C2/m
M_tot in μB/atom: 0.231

a b c (Å): 5.7233 5.7233 4.7398
angles (deg): 106.97 106.97 58.65
Closest atoms and distances in Å follow each position.
Fractional positions:
1 Mg 0.2253 0.2253 0.1548  6 O 2.05-2.19
2 Mg 0.7747 0.7747 0.8452  6 O 2.05-2.19
3 Co 0.2411 0.7589 0.5000  6 O 1.80-1.91
4 Co 0.5000 0.5000 0.0000  6 O 1.85-1.88
5 Co 0.7589 0.2411 0.5000  6 O 1.80-1.91
6 O 0.1043 0.1043 0.4309  2 Co 1.80
7 O 0.1627 0.6150 0.1008  2 Co 1.85, 1 Mg 2.05
8 O 0.3850 0.8373 0.8992  2 Co 1.85, 1 Mg 2.05
9 O 0.3967 0.3967 0.5885  3 Co 1.88-1.91
10 O 0.6033 0.6033 0.4115  3 Co 1.88-1.91
11 O 0.6150 0.1627 0.1008  2 Co 1.85, 1 Mg 2.05
12 O 0.8373 0.3850 0.8992  2 Co 1.85, 1 Mg 2.05
13 O 0.8957 0.8957 0.5691  2 Co 1.80

no.,E_form (uncorrected) (meV/atom),calculated density (g/cm³)
1,-2778,4.006
2,-1779,4.612
3,-2098,3.940
4,-123,4.624
5,-1766,4.697